First-principles (GGA-PBE) data for crystalline LiLa2Mg at its relaxed geometry, as listed in the Alexandria database.

Values from the calculation:
**Energy above the lowest structure with this stoichiometry**: 12 meV/atom
**DFT formation energy**: 0.01 eV/atom
**Raw total energy**: -3.33 eV per atom
**Total moment**: 0.00 μB per cell
**Symmetry**: No. 225

The structure in POSCAR format:
```
LiLa2Mg
1.0
0.0000 3.9454 3.9454
3.9454 0.0000 3.9454
3.9454 3.9454 0.0000
Li La Mg
1 2 1
Direct
0.0000 0.0000 0.0000
0.2500 0.2500 0.2500
0.7500 0.7500 0.7500
0.5000 0.5000 0.5000
```



First-principles (GGA-PBE) data for crystalline AcNdDyHg at its relaxed geometry, as listed in the Alexandria database.

Values from the calculation:
**Energy above the lowest structure with this stoichiometry**: 239 meV/atom
**DFT formation energy**: 0.03 eV/atom
**Raw total energy**: -3.42 eV per atom
**Total moment**: 0.00 μB per cell
**Symmetry**: No. 216

The structure in POSCAR format:
```
AcNdDyHg
1.0
0.0000 3.9859 3.9859
3.9859 0.0000 3.9859
3.9859 3.9859 0.0000
Ac Nd Dy Hg
1 1 1 1
Direct
0.0000 0.0000 0.0000
0.7500 0.7500 0.7500
0.2500 0.2500 0.2500
0.5000 0.5000 0.5000
```



First-principles (GGA-PBE) data for crystalline NaAcPb2I8 at its relaxed geometry, as listed in the Alexandria database.

Values from the calculation:
**Raw total energy**: -3.12 eV per atom
**Raw formation energy**: -1.02 eV/atom
**Total moment**: 0.00 μB per cell
**Symmetry**: No. 10

The structure in POSCAR format:
```
NaAcPb2I8
1.0
7.4185 0.0000 0.0000
0.0000 9.6356 0.0000
-0.1003 0.0000 7.8691
Na Ac Pb I
1 1 2 8
Direct
0.0000 0.0000 0.0000
0.0000 0.5000 0.0000
0.5000 0.2373 0.5000
0.5000 0.7627 0.5000
0.2452 0.2472 0.1561
0.2452 0.7528 0.1561
0.2525 0.5000 0.6582
0.2582 0.0000 0.6546
0.7418 0.0000 0.3454
0.7475 0.5000 0.3418
0.7548 0.2472 0.8439
0.7548 0.7528 0.8439
```



First-principles (GGA-PBE) data for crystalline YThPSe at its relaxed geometry, as listed in the Alexandria database.

Values from the calculation:
**Raw total energy**: -7.32 eV per atom
**Raw formation energy**: -1.63 eV/atom
**Total moment**: 0.00 μB per cell
**Symmetry**: No. 160

The structure in POSCAR format:
```
YThPSe
1.0
2.0144 1.1630 7.1503
-2.0144 1.1630 7.1503
0.0000 -2.3260 7.1503
Y Th P Se
1 1 1 1
Direct
0.0000 0.0000 0.0000
0.8127 0.8127 0.8127
0.4043 0.4043 0.4043
0.2411 0.2411 0.2411
```



First-principles (GGA-PBE) data for crystalline ZrHgIO2 at its relaxed geometry, as listed in the Alexandria database.

Values from the calculation:
**Energy above the lowest structure with this stoichiometry**: 0 meV/atom
**Raw total energy**: -5.51 eV per atom
**Raw formation energy**: -1.45 eV/atom
**Total moment**: 0.00 μB per cell
**Symmetry**: No. 123

The structure in POSCAR format:
```
ZrHgIO2
1.0
4.1818 0.0000 0.0000
0.0000 4.1818 0.0000
0.0000 0.0000 6.2489
Zr Hg I O
1 1 1 2
Direct
0.0000 0.0000 0.0000
0.5000 0.5000 0.5000
0.0000 0.0000 0.5000
0.0000 0.5000 0.0000
0.5000 0.0000 0.0000
```



First-principles (GGA-PBE) data for crystalline In2BiHPt at its relaxed geometry, as listed in the Alexandria database.

Values from the calculation:
**Raw total energy**: -3.80 eV per atom
**Total moment**: 0.00 μB per cell
**Symmetry**: No. 123

The structure in POSCAR format:
```
In2BiHPt
1.0
5.5545 0.0000 0.0000
0.0000 5.5545 0.0000
0.0000 0.0000 3.5071
In Bi H Pt
2 1 1 1
Direct
0.0000 0.5000 0.0000
0.5000 0.0000 0.0000
0.0000 0.0000 0.5000
0.5000 0.5000 0.5000
0.5000 0.5000 0.0000
```



First-principles (GGA-PBE) data for crystalline Pm5Ho12Er2 at its relaxed geometry, as listed in the Alexandria database.

Values from the calculation:
**Energy above the lowest structure with this stoichiometry**: 0 meV/atom
**DFT formation energy**: 0.06 eV/atom
**Raw total energy**: -4.56 eV per atom
**Total moment**: 0.00 μB per cell
**Symmetry**: No. 2

The structure in POSCAR format:
```
Pm5Ho12Er2
1.0
6.2668 0.0000 0.0000
0.3013 9.0375 0.0000
1.4562 0.4955 10.7735
Pm Ho Er
5 12 2
Direct
0.0000 0.0000 0.0000
0.1216 0.9865 0.3443
0.2761 0.5497 0.9417
0.7239 0.4503 0.0583
0.8784 0.0135 0.6557
0.0133 0.3420 0.7694
0.0741 0.6642 0.5482
0.1801 0.2954 0.1600
0.3553 0.8555 0.7501
0.3988 0.1750 0.5565
0.4952 0.8246 0.1125
0.5048 0.1754 0.8875
0.6012 0.8250 0.4435
0.6447 0.1445 0.2499
0.8199 0.7046 0.8400
0.9259 0.3358 0.4518
0.9867 0.6580 0.2306
0.4554 0.4952 0.3458
0.5446 0.5048 0.6542
```



First-principles (GGA-PBE) data for crystalline Be2AuBr at its relaxed geometry, as listed in the Alexandria database.

Values from the calculation:
**Energy above the lowest structure with this stoichiometry**: 576 meV/atom
**Raw total energy**: -2.67 eV per atom
**Raw formation energy**: 0.43 eV/atom
**Total moment**: 0.00 μB per cell
**Symmetry**: No. 71

The structure in POSCAR format:
```
Be2AuBr
1.0
-1.5464 3.2408 3.7241
1.5464 -3.2408 3.7241
1.5464 3.2408 -3.7241
Be Au Br
2 1 1
Direct
0.2410 0.2410 0.0000
0.7590 0.7590 0.0000
0.0000 0.5000 0.5000
0.5000 0.0000 0.5000
```